No. 1
Entry from Alexandria via LeMat-Bulk: a relaxed Sc2MnAg crystal (PBE).

a = 4.784 Å, b = 4.784 Å, c = 3.340 Å
α = 90.00°, β = 90.00°, γ = 90.00°
Atoms (fractional coordinates):
Sc  0.000  0.500  0.000
Sc  0.500  0.000  0.000
Mn  0.000  0.000  0.500
Ag  0.500  0.500  0.500

Results
* space group: No. 123
* volume: 19.109 A^3/atom
* calculated formation energy: -44 meV per atom



No. 2
Entry from Alexandria via LeMat-Bulk: a relaxed ScMn4Ag crystal (PBE).

a = 4.853 Å, b = 4.853 Å, c = 4.853 Å
α = 60.00°, β = 60.00°, γ = 60.00°
Atoms (fractional coordinates):
Sc  0.000  0.000  0.000
Mn  0.376  0.376  0.376
Mn  0.376  0.376  0.872
Mn  0.376  0.872  0.376
Mn  0.872  0.376  0.376
Ag  0.750  0.750  0.750

Results
* space group: No. 216
* volume: 13.468 A^3/atom
* calculated formation energy: 183 meV per atom



No. 3
Entry from Alexandria via LeMat-Bulk: a relaxed Sc2MnAg crystal (PBE).

a = 3.216 Å, b = 3.216 Å, c = 7.743 Å
α = 90.00°, β = 90.00°, γ = 90.00°
Atoms (fractional coordinates):
Sc  0.000  0.000  0.000
Sc  0.500  0.500  0.321
Mn  0.500  0.500  0.777
Ag  0.000  0.000  0.570

Results
* space group: No. 99
* volume: 20.018 A^3/atom
* calculated formation energy: 67 meV per atom



No. 4
Entry from Alexandria via LeMat-Bulk: a relaxed Sc4MnAg crystal (PBE).

a = 5.720 Å, b = 5.720 Å, c = 5.720 Å
α = 60.00°, β = 60.00°, γ = 60.00°
Atoms (fractional coordinates):
Sc  0.376  0.376  0.376
Sc  0.376  0.376  0.873
Sc  0.376  0.873  0.376
Sc  0.873  0.376  0.376
Mn  0.750  0.750  0.750
Ag  0.000  0.000  0.000

Results
* space group: No. 216
* volume: 22.056 A^3/atom
* calculated formation energy: 470 meV per atom



No. 5
Entry from Alexandria via LeMat-Bulk: a relaxed ScMn2Ag crystal (PBE).

a = 9.749 Å, b = 9.749 Å, c = 9.749 Å
α = 157.85°, β = 157.85°, γ = 31.53°
Atoms (fractional coordinates):
Sc  0.000  0.000  0.000
Sc  0.750  0.250  0.500
Mn  0.046  0.625  0.921
Mn  0.375  0.296  0.421
Mn  0.704  0.125  0.079
Mn  0.875  0.954  0.579
Ag  0.250  0.750  0.500
Ag  0.500  0.500  0.000

Results
* space group: No. 122
* volume: 16.459 A^3/atom
* calculated formation energy: 690 meV per atom



No. 6
Entry from Alexandria via LeMat-Bulk: a relaxed Sc2MnAg crystal (PBE).

a = 3.152 Å, b = 3.198 Å, c = 7.282 Å
α = 90.00°, β = 90.00°, γ = 90.00°
Atoms (fractional coordinates):
Sc  0.000  0.000  0.221
Sc  0.000  0.000  0.779
Mn  0.500  0.500  0.000
Ag  0.500  0.500  0.500

Results
* space group: No. 47
* volume: 18.350 A^3/atom
* calculated formation energy: -127 meV per atom



No. 7
Entry from Alexandria via LeMat-Bulk: a relaxed ScMn2Ag crystal (PBE).

a = 8.937 Å, b = 8.937 Å, c = 8.937 Å
α = 19.25°, β = 19.25°, γ = 19.25°
Atoms (fractional coordinates):
Sc  0.000  0.000  0.000
Mn  0.249  0.249  0.249
Mn  0.514  0.514  0.514
Ag  0.761  0.761  0.761

Results
* space group: No. 160
* volume: 16.946 A^3/atom
* calculated formation energy: 256 meV per atom



No. 8
Entry from Alexandria via LeMat-Bulk: a relaxed Sc2Mn2Ag crystal (PBE).

a = 6.637 Å, b = 6.637 Å, c = 3.915 Å
α = 90.00°, β = 90.00°, γ = 90.00°
Atoms (fractional coordinates):
Sc  0.182  0.318  0.000
Sc  0.318  0.818  0.000
Sc  0.682  0.182  0.000
Sc  0.818  0.682  0.000
Mn  0.109  0.609  0.500
Mn  0.391  0.109  0.500
Mn  0.609  0.891  0.500
Mn  0.891  0.391  0.500
Ag  0.000  0.000  0.500
Ag  0.500  0.500  0.500

Results
* space group: No. 127
* volume: 17.246 A^3/atom
* calculated formation energy: 75 meV per atom